Run A
## Ta2ZnTe (GGA-PBEsol)

Data for a relaxed Ta2ZnTe crystal.

Cell: 5.288 5.288 5.288 Å, 142.85 125.98 67.39°
Fractional positions:
Ta  0.245  0.245  0.000
Ta  0.755  0.755  0.000
Zn  0.000  0.500  0.500
Te  0.500  0.000  0.500

* theoretical density: 12.944 g/cm³
* total moment: 0.0 μB per formula unit
* crystal system: orthorhombic
* space group: Immm, No. 71

Run B
## Ta2ZnTe (GGA-PBEsol)

Data for a relaxed Ta2ZnTe crystal.

Cell: 5.314 5.314 5.314 Å, 141.70 129.32 65.26°
Fractional positions:
Ta  0.000  0.000  0.000
Ta  0.753  0.253  0.500
Zn  0.506  0.506  0.000
Te  0.250  0.750  0.500

* theoretical density: 12.982 g/cm³
* total moment: 0.0 μB per formula unit
* crystal system: orthorhombic
* space group: Imm2, No. 44

Each structure's energy above the most stable one, in eV/atom: run A 0.000; run B 0.014.

Run A
## ZrTaTe (GGA-PBEsol)

Data for a relaxed ZrTaTe crystal.

Cell: 4.678 4.678 4.678 Å, 60.00 60.00 60.00°
Fractional positions:
Zr  0.000  0.000  0.000
Ta  0.250  0.250  0.250
Te  0.750  0.750  0.750

* theoretical density: 9.168 g/cm³
* total moment: 1.2 μB per formula unit
* crystal system: cubic
* space group: F-43m, No. 216

Run B
## ZrTaTe (GGA-PBEsol)

Data for a relaxed ZrTaTe crystal.

Cell: 3.474 3.474 6.280 Å, 90.00 90.00 120.00°
Fractional positions:
Zr  0.000  0.000  0.000
Ta  0.333  0.667  0.672
Te  0.667  0.333  0.354

* theoretical density: 10.113 g/cm³
* total moment: 0.0 μB per formula unit
* crystal system: trigonal
* space group: P3m1, No. 156

Each structure's energy above the most stable one, in eV/atom: run A 0.762; run B 0.000.

Run A
## YTa2Tl (GGA-PBEsol)

Data for a relaxed YTa2Tl crystal.

Cell: 5.881 5.881 2.998 Å, 101.28 101.28 119.64°
Fractional positions:
Y  0.000  0.000  0.000
Ta  0.000  0.500  0.500
Ta  0.500  0.000  0.500
Tl  0.500  0.500  0.000

* theoretical density: 13.104 g/cm³
* total moment: 0.0 μB per formula unit
* crystal system: monoclinic
* space group: C2/m, No. 12

Run B
## YTa2Tl (GGA-PBEsol)

Data for a relaxed YTa2Tl crystal.

Cell: 5.629 5.629 5.629 Å, 136.29 136.29 63.53°
Fractional positions:
Y  0.000  0.000  0.000
Ta  0.250  0.750  0.500
Ta  0.750  0.250  0.500
Tl  0.500  0.500  0.000

* theoretical density: 12.944 g/cm³
* total moment: 0.0 μB per formula unit
* crystal system: tetragonal
* space group: I4/mmm, No. 139

Each structure's energy above the most stable one, in eV/atom: run A 0.088; run B 0.000.

Run A
## Ta5W (GGA-PBEsol)

Data for a relaxed Ta5W crystal.

Cell: 5.334 5.334 5.334 Å, 60.00 60.00 60.00°
Fractional positions:
Ta  0.000  0.000  0.000
Ta  0.375  0.375  0.375
Ta  0.375  0.375  0.875
Ta  0.375  0.875  0.375
Ta  0.875  0.375  0.375
W  0.750  0.750  0.750

* theoretical density: 16.849 g/cm³
* total moment: 0.0 μB per formula unit
* crystal system: cubic
* space group: F-43m, No. 216

Run B
## Ta5W (GGA-PBEsol)

Data for a relaxed Ta5W crystal.

Cell: 7.093 7.093 4.625 Å, 90.00 90.00 153.62°
Fractional positions:
Ta  0.000  0.000  0.000
Ta  0.163  0.837  0.500
Ta  0.333  0.667  0.000
Ta  0.667  0.333  0.000
Ta  0.837  0.163  0.500
W  0.500  0.500  0.500

* theoretical density: 17.485 g/cm³
* total moment: 0.0 μB per formula unit
* crystal system: orthorhombic
* space group: Cmmm, No. 65

Each structure's energy above the most stable one, in eV/atom: run A 0.251; run B 0.000.

Run A
## Ta4W (GGA-PBEsol)

Data for a relaxed Ta4W crystal.

Cell: 5.406 5.406 5.406 Å, 95.12 95.12 145.25°
Fractional positions:
Ta  0.095  0.294  0.389
Ta  0.294  0.905  0.198
Ta  0.706  0.095  0.802
Ta  0.905  0.706  0.611
W  0.500  0.500  0.000

* theoretical density: 17.539 g/cm³
* total moment: 0.0 μB per formula unit
* crystal system: tetragonal
* space group: I4/m, No. 87

Run B
## Ta4W (GGA-PBEsol)

Data for a relaxed Ta4W crystal.

Cell: 5.165 5.165 5.165 Å, 109.47 109.47 109.47°
Fractional positions:
Ta  0.000  0.000  0.500
Ta  0.000  0.500  0.000
Ta  0.500  0.000  0.000
Ta  0.500  0.500  0.500
W  0.000  0.000  0.000

* theoretical density: 14.211 g/cm³
* total moment: 0.0 μB per formula unit
* crystal system: cubic
* space group: Im-3m, No. 229

Each structure's energy above the most stable one, in eV/atom: run A 0.000; run B 1.363.

Run A
## Ta4W3 (GGA-PBEsol)

Data for a relaxed Ta4W3 crystal.

Cell: 11.588 11.588 11.588 Å, 164.11 164.11 22.54°
Fractional positions:
Ta  0.070  0.070  0.000
Ta  0.355  0.355  0.000
Ta  0.645  0.645  0.000
Ta  0.930  0.930  0.000
W  0.216  0.216  0.000
W  0.500  0.500  0.000
W  0.784  0.784  0.000

* theoretical density: 18.158 g/cm³
* total moment: 0.0 μB per formula unit
* crystal system: tetragonal
* space group: I4/mmm, No. 139

Run B
## Ta4W3 (GGA-PBEsol)

Data for a relaxed Ta4W3 crystal.

Cell: 5.187 5.187 5.214 Å, 90.00 90.00 120.00°
Fractional positions:
Ta  0.000  0.000  0.246
Ta  0.000  0.000  0.754
Ta  0.333  0.667  0.000
Ta  0.667  0.333  0.000
W  0.000  0.500  0.500
W  0.500  0.000  0.500
W  0.500  0.500  0.500

* theoretical density: 17.435 g/cm³
* total moment: 0.0 μB per formula unit
* crystal system: hexagonal
* space group: P6/mmm, No. 191

Each structure's energy above the most stable one, in eV/atom: run A 0.000; run B 0.087.

Run A
## Ta5W3 (GGA-PBEsol)

Data for a relaxed Ta5W3 crystal.

Cell: 5.578 5.578 4.569 Å, 90.00 90.00 109.53°
Fractional positions:
Ta  0.000  0.000  0.000
Ta  0.000  0.500  0.000
Ta  0.254  0.254  0.500
Ta  0.500  0.000  0.000
Ta  0.746  0.746  0.500
W  0.249  0.751  0.500
W  0.500  0.500  0.000
W  0.751  0.249  0.500

* theoretical density: 18.048 g/cm³
* total moment: 0.0 μB per formula unit
* crystal system: orthorhombic
* space group: Cmmm, No. 65

Run B
## Ta5W3 (GGA-PBEsol)

Data for a relaxed Ta5W3 crystal.

Cell: 6.442 6.446 6.446 Å, 90.04 90.00 90.00°
Fractional positions:
Ta  0.000  0.000  0.000
Ta  0.000  0.001  0.508
Ta  0.000  0.508  0.001
Ta  0.253  0.254  0.754
Ta  0.253  0.255  0.255
Ta  0.253  0.754  0.254
Ta  0.500  0.508  0.508
Ta  0.747  0.254  0.754
Ta  0.747  0.255  0.255
Ta  0.747  0.754  0.254
W  0.000  0.507  0.507
W  0.253  0.754  0.754
W  0.500  0.002  0.002
W  0.500  0.002  0.508
W  0.500  0.508  0.002
W  0.747  0.754  0.754

* theoretical density: 18.070 g/cm³
* total moment: 0.0 μB per formula unit
* crystal system: orthorhombic
* space group: Amm2, No. 38

Each structure's energy above the most stable one, in eV/atom: run A 0.000; run B 0.011.

Run A
## YTa2W (GGA-PBEsol)

Data for a relaxed YTa2W crystal.

Cell: 2.914 2.914 9.763 Å, 90.00 90.00 112.57°
Fractional positions:
Y  0.000  0.000  0.000
Ta  0.500  0.500  0.282
Ta  0.500  0.500  0.718
W  0.000  0.000  0.500

* theoretical density: 13.763 g/cm³
* total moment: 0.0 μB per formula unit
* crystal system: orthorhombic
* space group: Cmmm, No. 65

Run B
## YTa2W (GGA-PBEsol)

Data for a relaxed YTa2W crystal.

Cell: 5.644 5.644 5.644 Å, 146.47 127.97 63.32°
Fractional positions:
Y  0.000  0.000  0.000
Ta  0.275  0.775  0.500
Ta  0.725  0.225  0.500
W  0.500  0.500  0.000

* theoretical density: 13.612 g/cm³
* total moment: 0.0 μB per formula unit
* crystal system: orthorhombic
* space group: Immm, No. 71

Each structure's energy above the most stable one, in eV/atom: run A 0.000; run B 0.087.